Record 1
12
Lattice="3.7804 -6.5502 0.0000 3.7804 6.5502 0.0000 -2.5211 0.0000 7.1326" Properties=species:S:1:pos:R:3 comment="Pb6Se5S, optimized geometry, DFT GGA-PBE" final_energy_ha_per_atom=-0.1547 raw_formation_energy_ev_per_atom=-0.56 pbc="T T T"
Pb -0.0259 2.1429 5.3262
Pb 1.2101 0.0000 1.8083
Pb -0.0259 -2.1429 5.3262
Pb 5.0656 2.1429 1.8064
Pb 3.8296 0.0000 5.3243
Pb 5.0656 -2.1429 1.8064
Se 3.7804 4.3351 0.0000
Se 2.5199 2.1745 3.5663
Se 3.7804 0.0000 0.0000
Se 2.5199 -2.1745 3.5663
Se 3.7804 -4.3351 0.0000
S -1.2606 0.0000 3.5663

=====

Record 2
4
Lattice="2.1099 1.2182 7.5216 -2.1099 1.2182 7.5216 0.0000 -2.4363 7.5216" Properties=species:S:1:pos:R:3 comment="Pb2SeS, optimized geometry, DFT GGA-PBE" final_energy_ha_per_atom=-0.1564 polymorph_energy_ev_per_atom=0.051 raw_formation_energy_ev_per_atom=-0.50 pbc="T T T"
Pb 0.0000 0.0000 0.0000
Pb 0.0000 0.0000 3.9442
Se 0.0000 0.0000 9.2460
S 0.0000 0.0000 13.0588

=====

Record 3
5
Lattice="5.5274 0.0000 0.0000 0.0000 5.5274 0.0000 0.0000 0.0000 5.5274" Properties=species:S:1:pos:R:3 comment="Pb3SeS, optimized geometry, DFT GGA-PBE" final_energy_ha_per_atom=-0.1329 polymorph_energy_ev_per_atom=0.000 raw_formation_energy_ev_per_atom=0.13 pbc="T T T"
Pb 0.0000 0.0000 2.7637
Pb 0.0000 2.7637 0.0000
Pb 2.7637 0.0000 0.0000
Se 2.7637 2.7637 2.7637
S 0.0000 0.0000 0.0000

=====

Record 4
4
Lattice="4.3208 0.0000 0.0000 0.0000 4.3208 0.0000 0.0000 0.0000 6.1059" Properties=species:S:1:pos:R:3 comment="Pb2SeS, optimized geometry, DFT GGA-PBE" final_energy_ha_per_atom=-0.1579 polymorph_energy_ev_per_atom=0.009 raw_formation_energy_ev_per_atom=-0.54 pbc="T T T"
Pb 0.0000 0.0000 0.0000
Pb 2.1604 2.1604 3.0530
Se 0.0000 0.0000 3.0530
S 2.1604 2.1604 0.0000

=====

Record 5
12
Lattice="9.1013 -2.0514 0.0000 9.1013 2.0514 0.0000 -2.0494 0.0000 8.1626" Properties=species:S:1:pos:R:3 comment="Sm6PbSe2S3, optimized geometry, DFT GGA-PBE" final_energy_ha_per_atom=-0.2193 raw_formation_energy_ev_per_atom=-1.69 pbc="T T T"
Sm -0.4188 0.0000 1.8709
Sm 5.0547 0.0000 3.5072
Sm 4.3023 0.0000 7.3976
Sm 11.8509 0.0000 0.7650
Sm 11.0985 0.0000 4.6553
Sm 16.5720 0.0000 6.2916
Pb 8.0766 0.0000 4.0813
Se 1.3709 0.0000 6.8223
Se 14.7823 0.0000 1.3403
S 2.3403 0.0000 2.6794
S 9.1013 0.0000 0.0000
S 13.8128 0.0000 5.4832

=====

Record 6
8
Lattice="7.3421 0.0000 0.0000 0.0000 4.2346 0.0000 -2.4534 0.0000 6.9212" Properties=species:S:1:pos:R:3 comment="Sm4PbSe2S, optimized geometry, DFT GGA-PBE" final_energy_ha_per_atom=-0.2105 raw_formation_energy_ev_per_atom=-1.52 pbc="T T T"
Sm 1.2108 0.0000 1.6254
Sm 0.0026 2.1173 5.2966
Sm 4.8861 2.1173 1.6246
Sm 3.6779 0.0000 5.2958
Pb -1.2267 0.0000 3.4606
Se 3.6710 0.0000 0.0000
Se 2.4444 2.1173 3.4606
S 0.0000 2.1173 0.0000

=====

Record 7
8
Lattice="7.2695 0.0000 0.0000 0.0000 4.1376 0.0000 -2.3931 0.0000 6.9068" Properties=species:S:1:pos:R:3 comment="Sm4PbSeS2, optimized geometry, DFT GGA-PBE" final_energy_ha_per_atom=-0.2153 raw_formation_energy_ev_per_atom=-1.57 pbc="T T T"
Sm 1.1519 0.0000 1.5466
Sm -0.0178 2.0688 5.3143
Sm 4.8943 2.0688 1.5924
Sm 3.7245 0.0000 5.3602
Pb 2.4382 2.0688 3.4534
Se -1.1965 0.0000 3.4534
S 0.0000 2.0688 0.0000
S 3.6347 0.0000 0.0000

=====

Record 8
5
Lattice="5.4188 0.0000 0.0000 0.0000 5.4188 0.0000 0.0000 0.0000 4.8831" Properties=species:S:1:pos:R:3 comment="Sn2PbSeS, optimized geometry, DFT GGA-PBE" final_energy_ha_per_atom=-0.1358 raw_formation_energy_ev_per_atom=0.17 pbc="T T T"
Sn 0.0000 2.7094 0.0000
Sn 2.7094 0.0000 0.0000
Pb 0.0000 0.0000 2.4416
Se 2.7094 2.7094 2.4416
S 2.7094 2.7094 0.0000

=====

Record 9
12
Lattice="8.3371 0.0000 0.0000 0.0000 6.2129 3.8424 0.0000 -6.2129 3.8424" Properties=species:S:1:pos:R:3 comment="SnPb5Se2S4, optimized geometry, DFT GGA-PBE" final_energy_ha_per_atom=-0.1555 raw_formation_energy_ev_per_atom=-0.40 pbc="T T T"
Sn 0.0000 0.0000 0.0000
Pb 2.0058 -2.3076 3.5797
Pb 2.0058 2.3076 3.5797
Pb 4.1685 0.0000 0.1114
Pb 6.3312 -2.3076 3.5797
Pb 6.3312 2.3076 3.5797
Se 4.1685 -2.4838 6.0601
Se 4.1685 2.4838 6.0601
S 0.0000 -2.4956 6.1176
S 0.0000 2.4956 6.1176
S 1.9445 0.0000 1.8519
S 6.3925 0.0000 1.8519

=====

Record 10
4
Lattice="3.5158 -2.0285 0.0000 3.5158 2.0285 0.0000 -2.3240 0.0000 8.9884" Properties=species:S:1:pos:R:3 comment="SnPbSeS, optimized geometry, DFT GGA-PBE" final_energy_ha_per_atom=-0.1537 raw_formation_energy_ev_per_atom=-0.35 pbc="T T T"
Sn 0.0000 0.0000 0.0000
Pb 2.3398 0.0000 2.7954
Se 2.3634 0.0000 7.5240
S 4.6830 0.0000 4.1608